First-principles (GGA+U) data for KGaCoO3 after structural relaxation, as listed in Alexandria.

Results
- crystal system = orthorhombic
- space-group type = Cmcm
- mass density (Mg/m³) = 4.6
- size of the total moment (μB per atom) = 0.50
- E_tot (eV/cell) = -65.97

POSCAR file:
```
KGaCoO3
1.0
-3.668 -1.263 3.838
-1.475 -4.468 -2.880
4.349 -0.584 3.963
K O Co Ga
2 6 2 2
direct
0.750 0.251 0.502 K
0.250 0.749 0.498 K
0.000 0.237 0.000 O
0.000 0.763 0.000 O
0.500 0.763 0.000 O
0.750 0.759 0.517 O
0.250 0.241 0.483 O
0.500 0.237 0.000 O
0.750 0.571 0.142 Co
0.250 0.429 0.858 Co
0.250 0.066 0.131 Ga
0.750 0.934 0.869 Ga
```